[1]
## H3Pd5Au2 (PBE-GGA)

Data for crystalline H3Pd5Au2 at its relaxed geometry.

Lattice parameters (Å, degrees): 5.557 7.726 7.726 54.86 68.92 68.92
Fractional positions:
Pd (0.976, 0.274, 0.274)
Au (0.127, 0.653, 0.092)
H (0.861, 0.732, 0.546)
Pd (0.913, 0.927, 0.246)
Pd (0.476, 0.274, 0.274)
Pd (0.413, 0.246, 0.927)
Au (0.627, 0.092, 0.653)
Au (0.873, 0.347, 0.908)
Pd (0.087, 0.073, 0.754)
Au (0.373, 0.908, 0.347)
H (0.750, 0.000, 0.000)
Pd (0.750, 0.500, 0.500)
Pd (0.024, 0.726, 0.726)
Pd (0.250, 0.500, 0.500)
H (0.361, 0.546, 0.732)
H (0.250, 0.000, 0.000)
H (0.639, 0.454, 0.268)
Pd (0.587, 0.754, 0.073)
H (0.139, 0.268, 0.454)
Pd (0.524, 0.726, 0.726)

Summary:
* calculated volume: 248.00 Å³ per cell
* total moment: 0.00 μB per cell
* space group: Ibam
* total DFT energy (no corrections): -4.221 eV/atom



[2]
## HPd3Au (PBE-GGA)

Data for crystalline HPd3Au at its relaxed geometry.

Lattice parameters (Å, degrees): 7.448 7.448 7.448 38.49 38.49 38.49
Fractional positions:
Pd (0.439, 0.111, 0.779)
Pd (0.221, 0.561, 0.889)
H (0.179, 0.179, 0.179)
Pd (0.889, 0.221, 0.561)
Au (0.334, 0.334, 0.334)
Pd (0.111, 0.779, 0.439)
Pd (0.779, 0.439, 0.111)
H (0.821, 0.821, 0.821)
Pd (0.561, 0.889, 0.221)
Au (0.666, 0.666, 0.666)

Summary:
* calculated volume: 143.80 Å³ per cell
* energy above the lowest structure with this stoichiometry: 113 meV per atom
* total moment: 0.00 μB per cell
* space group: R-3



[3]
## HPd3Au (PBE-GGA)

Data for crystalline HPd3Au at its relaxed geometry.

Lattice parameters (Å, degrees): 3.847 3.847 6.422 90.00 90.00 90.00
Fractional positions:
Pd (0.500, 0.000, 0.454)
Pd (0.000, 0.000, 0.746)
Au (0.000, 0.000, 0.147)
Pd (0.000, 0.500, 0.454)
H (0.500, 0.500, 0.462)

Summary:
* calculated volume: 95.05 Å³ per cell
* energy above the lowest structure with this stoichiometry: 513 meV per atom
* total moment: 0.00 μB per cell
* space group: P4mm



[4]
## HPd6Au2 (PBE-GGA)

Data for crystalline HPd6Au2 at its relaxed geometry.

Lattice parameters (Å, degrees): 5.733 5.733 7.943 90.00 90.00 90.00
Fractional positions:
Pd (0.251, 0.749, 0.500)
Pd (0.751, 0.751, 0.000)
Pd (0.249, 0.751, 0.000)
Au (0.000, 0.500, 0.250)
Pd (0.251, 0.251, 0.500)
Pd (0.749, 0.251, 0.500)
Pd (0.500, 0.500, 0.252)
Pd (0.249, 0.249, 0.000)
H (0.500, 0.500, 0.000)
Au (0.500, 0.000, 0.750)
Pd (0.500, 0.500, 0.748)
H (0.000, 0.000, 0.500)
Au (0.500, 0.000, 0.250)
Pd (0.749, 0.749, 0.500)
Pd (0.000, 0.000, 0.248)
Pd (0.751, 0.249, 0.000)
Pd (0.000, 0.000, 0.752)
Au (0.000, 0.500, 0.750)

Summary:
* calculated volume: 261.08 Å³ per cell
* total moment: 0.00 μB per cell
* space group: I4/mmm
* total DFT energy (no corrections): -4.621 eV/atom



[5]
## H4Pd7Au (PBE-GGA)

Data for crystalline H4Pd7Au at its relaxed geometry.

Lattice parameters (Å, degrees): 4.827 4.984 11.654 90.00 90.00 90.00
Fractional positions:
Pd (0.975, 0.175, 0.755)
Pd (0.462, 0.326, 0.121)
Pd (0.463, 0.839, 0.000)
H (0.596, 0.176, 0.250)
H (0.096, 0.824, 0.250)
H (0.603, 0.664, 0.876)
Pd (0.962, 0.674, 0.379)
H (0.103, 0.336, 0.624)
H (0.096, 0.824, 0.750)
Pd (0.977, 0.663, 0.120)
Pd (0.963, 0.161, 0.500)
Pd (0.962, 0.674, 0.621)
Pd (0.975, 0.175, 0.245)
Au (0.966, 0.165, 0.000)
Pd (0.475, 0.825, 0.255)
H (0.596, 0.176, 0.750)
Au (0.466, 0.835, 0.500)
Pd (0.477, 0.337, 0.380)
Pd (0.462, 0.326, 0.879)
Pd (0.475, 0.825, 0.745)
Pd (0.477, 0.337, 0.620)
H (0.603, 0.664, 0.124)
H (0.103, 0.336, 0.376)
Pd (0.977, 0.663, 0.880)

Summary:
* calculated volume: 280.42 Å³ per cell
* total moment: 0.00 μB per cell
* space group: Pmn2_1
* total DFT energy (no corrections): -4.512 eV/atom



[6]
## HPd3Au (PBE-GGA)

Data for crystalline HPd3Au at its relaxed geometry.

Lattice parameters (Å, degrees): 4.859 4.859 10.097 76.08 76.08 90.00
Fractional positions:
Au (0.250, 0.750, 0.500)
H (0.770, 0.270, 0.460)
Pd (0.661, 0.661, 0.679)
Pd (0.627, 0.876, 0.248)
Pd (0.339, 0.339, 0.321)
Pd (0.124, 0.875, 0.752)
Pd (0.125, 0.876, 0.248)
H (0.730, 0.230, 0.540)
Pd (0.124, 0.373, 0.752)
Au (0.000, 0.000, 0.000)

Summary:
* calculated volume: 224.20 Å³ per cell
* energy above the lowest structure with this stoichiometry: 851 meV per atom
* total moment: 0.00 μB per cell
* space group: I-4m2



[7]
## H6Pd6Au (PBE-GGA)

Data for crystalline H6Pd6Au at its relaxed geometry.

Lattice parameters (Å, degrees): 4.682 4.682 7.857 90.00 90.00 120.00
Fractional positions:
H (0.000, 0.500, 0.653)
H (0.500, 0.000, 0.653)
Pd (0.333, 0.667, 0.500)
Pd (0.333, 0.667, 0.000)
Au (0.000, 0.000, 0.000)
H (0.500, 0.000, 0.347)
Pd (0.667, 0.333, 0.000)
H (0.500, 0.500, 0.653)
Pd (0.000, 0.000, 0.333)
Pd (0.000, 0.000, 0.667)
Pd (0.667, 0.333, 0.500)
H (0.500, 0.500, 0.347)
H (0.000, 0.500, 0.347)

Summary:
* calculated volume: 149.14 Å³ per cell
* total moment: 0.00 μB per cell
* space group: P6/mmm
* total DFT energy (no corrections): -3.957 eV/atom



[8]
## HPd2Au (PBE-GGA)

Data for crystalline HPd2Au at its relaxed geometry.

Lattice parameters (Å, degrees): 2.755 2.755 6.930 90.00 90.00 90.00
Fractional positions:
Pd (0.000, 0.000, 0.811)
Pd (0.000, 0.000, 0.189)
H (0.500, 0.500, 0.000)
Au (0.500, 0.500, 0.500)

Summary:
* calculated volume: 52.60 Å³ per cell
* energy above the lowest structure with this stoichiometry: 249 meV per atom
* total moment: 0.00 μB per cell
* space group: P4/mmm



[9]
## H2Pd3Au (PBE-GGA)

Data for crystalline H2Pd3Au at its relaxed geometry.

Lattice parameters (Å, degrees): 4.253 5.773 5.773 90.19 90.00 90.00
Fractional positions:
Au (0.250, 0.373, 0.373)
Au (0.750, 0.627, 0.627)
Pd (0.750, 0.128, 0.128)
Pd (0.750, 0.611, 0.128)
H (0.500, 0.141, 0.859)
Pd (0.250, 0.872, 0.872)
Pd (0.750, 0.128, 0.611)
Pd (0.250, 0.872, 0.389)
H (0.000, 0.141, 0.859)
H (0.000, 0.859, 0.141)
Pd (0.250, 0.389, 0.872)
H (0.500, 0.859, 0.141)

Summary:
* calculated volume: 141.75 Å³ per cell
* total moment: 0.00 μB per cell
* space group: Cmcm
* total DFT energy (no corrections): -4.358 eV/atom



[10]
## HPd3Au2 (PBE-GGA)

Data for crystalline HPd3Au2 at its relaxed geometry.

Lattice parameters (Å, degrees): 5.122 5.594 7.580 81.17 70.42 62.75
Fractional positions:
Au (0.141, 0.717, 0.500)
Au (0.500, 0.000, 0.500)
Pd (0.625, 0.000, 0.816)
Au (0.859, 0.283, 0.500)
Pd (0.020, 0.429, 0.810)
H (0.309, 0.382, 0.000)
Pd (0.551, 0.429, 0.190)
Pd (0.980, 0.571, 0.190)
Pd (0.449, 0.571, 0.810)
Au (0.000, 0.000, 0.000)
Pd (0.375, 0.000, 0.184)
H (0.691, 0.618, 0.000)

Summary:
* calculated volume: 181.95 Å³ per cell
* energy above the lowest structure with this stoichiometry: 213 meV per atom
* total moment: 0.00 μB per cell
* space group: C2/m



[11]
## HPd5Au2 (PBE-GGA)

Data for crystalline HPd5Au2 at its relaxed geometry.

Lattice parameters (Å, degrees): 9.503 5.793 12.178 90.00 43.99 90.00
Fractional positions:
Pd (0.606, 0.124, 0.857)
Pd (0.394, 0.876, 0.143)
Pd (0.825, 0.366, 0.569)
Pd (0.823, 0.883, 0.570)
H (0.321, 0.377, 0.323)
Au (0.751, 0.625, 0.001)
Pd (0.177, 0.117, 0.430)
Pd (0.395, 0.374, 0.138)
H (0.821, 0.123, 0.323)
Pd (0.043, 0.124, 0.286)
Pd (0.175, 0.634, 0.431)
Pd (0.895, 0.126, 0.138)
Pd (0.323, 0.617, 0.570)
Pd (0.325, 0.134, 0.569)
Pd (0.543, 0.376, 0.286)
Au (0.249, 0.375, 0.999)
Pd (0.105, 0.874, 0.862)
Au (0.251, 0.875, 0.001)
Au (0.966, 0.374, 0.711)
Pd (0.106, 0.376, 0.857)
Pd (0.605, 0.626, 0.862)
Au (0.466, 0.126, 0.711)
Au (0.534, 0.874, 0.289)
Pd (0.957, 0.876, 0.714)
Pd (0.894, 0.624, 0.143)
Pd (0.677, 0.383, 0.430)
H (0.679, 0.623, 0.677)
Pd (0.457, 0.624, 0.714)
Au (0.034, 0.626, 0.289)
H (0.179, 0.877, 0.677)
Pd (0.675, 0.866, 0.431)
Au (0.749, 0.125, 0.999)

Summary:
* calculated volume: 465.64 Å³ per cell
* total moment: 0.00 μB per cell
* space group: P2_1/c
* total DFT energy (no corrections): -4.545 eV/atom



[12]
## H2Pd6Au (PBE-GGA)

Data for crystalline H2Pd6Au at its relaxed geometry.

Lattice parameters (Å, degrees): 2.791 4.887 9.752 70.06 81.77 73.40
Fractional positions:
H (0.876, 0.058, 0.191)
Pd (0.648, 0.771, 0.933)
Pd (0.352, 0.229, 0.067)
Au (0.000, 0.500, 0.500)
Pd (0.066, 0.667, 0.201)
Pd (0.934, 0.333, 0.799)
Pd (0.755, 0.127, 0.362)
Pd (0.245, 0.873, 0.638)
H (0.124, 0.942, 0.809)

Summary:
* calculated volume: 119.69 Å³ per cell
* energy above the lowest structure with this stoichiometry: 0 meV per atom
* total moment: 0.00 μB per cell
* space group: C2/m



[13]
## H4Pd8Au (PBE-GGA)

Data for crystalline H4Pd8Au at its relaxed geometry.

Lattice parameters (Å, degrees): 2.901 7.624 7.628 68.56 79.40 79.18
Fractional positions:
H (0.092, 0.587, 0.213)
Pd (0.182, 0.001, 0.634)
H (0.322, 0.829, 0.471)
Pd (0.523, 0.331, 0.630)
Pd (0.842, 0.675, 0.635)
H (0.939, 0.417, 0.720)
H (0.709, 0.175, 0.463)
Pd (0.845, 0.335, 0.974)
Au (0.516, 0.002, 0.967)
Pd (0.849, 0.003, 0.299)
Pd (0.508, 0.673, 0.304)
Pd (0.190, 0.329, 0.298)
Pd (0.186, 0.669, 0.960)

Summary:
* calculated volume: 152.99 Å³ per cell
* total moment: 0.00 μB per cell
* space group: P-1
* total DFT energy (no corrections): -4.560 eV/atom



[14]
## HPd3Au2 (PBE-GGA)

Data for crystalline HPd3Au2 at its relaxed geometry.

Lattice parameters (Å, degrees): 2.924 4.085 7.594 105.53 100.87 90.27
Fractional positions:
Au (0.735, 0.782, 0.478)
Pd (0.536, 0.586, 0.078)
Pd (0.935, 0.960, 0.874)
Pd (0.330, 0.381, 0.669)
H (0.439, 0.226, 0.874)
Au (0.131, 0.179, 0.270)

Summary:
* calculated volume: 85.68 Å³ per cell
* energy above the lowest structure with this stoichiometry: 0 meV per atom
* total moment: 0.00 μB per cell
* space group: P1



[15]
## HPd3Au (PBE-GGA)

Data for crystalline HPd3Au at its relaxed geometry.

Lattice parameters (Å, degrees): 2.942 2.942 18.401 90.00 90.00 120.00
Fractional positions:
Au (0.000, 0.000, 0.500)
H (0.333, 0.667, 0.750)
Pd (0.667, 0.333, 0.376)
Au (0.000, 0.000, 0.000)
Pd (0.333, 0.667, 0.624)
Pd (0.667, 0.333, 0.124)
H (0.667, 0.333, 0.250)
Pd (0.333, 0.667, 0.876)
Pd (0.000, 0.000, 0.250)
Pd (0.000, 0.000, 0.750)

Summary:
* calculated volume: 137.94 Å³ per cell
* energy above the lowest structure with this stoichiometry: 97 meV per atom
* total moment: 0.00 μB per cell
* space group: P6_3/mmc



[16]
## HPd2Au (PBE-GGA)

Data for crystalline HPd2Au at its relaxed geometry.

Lattice parameters (Å, degrees): 6.057 6.057 5.201 54.39 54.39 90.00
Fractional positions:
Pd (0.375, 0.492, 0.750)
Pd (0.875, 0.758, 0.750)
Au (0.000, 0.000, 0.000)
H (0.250, 0.750, 0.500)
H (0.500, 0.500, 0.000)
Pd (0.242, 0.625, 0.250)
Pd (0.508, 0.125, 0.250)
Au (0.750, 0.250, 0.500)

Summary:
* calculated volume: 108.23 Å³ per cell
* energy above the lowest structure with this stoichiometry: 89 meV per atom
* total moment: 0.00 μB per cell
* space group: I-42d



[17]
## HPd3Au (PBE-GGA)

Data for crystalline HPd3Au at its relaxed geometry.

Lattice parameters (Å, degrees): 10.636 7.423 7.423 79.42 124.49 55.51
Fractional positions:
H (0.750, 0.458, 0.958)
Pd (0.919, 0.266, 0.359)
Pd (0.424, 0.387, 0.485)
H (0.250, 0.827, 0.327)
Au (0.919, 0.517, 0.610)
Pd (0.576, 0.613, 0.515)
Pd (0.919, 0.766, 0.857)
Au (0.581, 0.110, 0.017)
H (0.250, 0.542, 0.042)
Pd (0.581, 0.859, 0.766)
Au (0.419, 0.890, 0.983)
Pd (0.419, 0.643, 0.734)
Pd (0.581, 0.357, 0.266)
Pd (0.081, 0.234, 0.143)
Pd (0.081, 0.734, 0.641)
Au (0.081, 0.483, 0.390)
Pd (0.076, 0.985, 0.887)
H (0.750, 0.173, 0.673)
Pd (0.419, 0.141, 0.234)
Pd (0.924, 0.015, 0.113)

Summary:
* calculated volume: 266.73 Å³ per cell
* energy above the lowest structure with this stoichiometry: 29 meV per atom
* total moment: 0.00 μB per cell
* space group: C2/c



[18]
## H2Pd5Au2 (PBE-GGA)

Data for crystalline H2Pd5Au2 at its relaxed geometry.

Lattice parameters (Å, degrees): 5.701 5.691 8.801 108.86 108.90 90.00
Fractional positions:
Pd (0.855, 0.878, 0.736)
Pd (0.000, 0.010, 0.500)
Pd (0.751, 0.260, 0.001)
Pd (0.249, 0.759, 0.999)
Au (0.624, 0.139, 0.259)
Pd (0.381, 0.378, 0.736)
Au (0.865, 0.380, 0.741)
Pd (0.751, 0.760, 0.001)
Au (0.135, 0.639, 0.259)
Pd (0.249, 0.259, 0.999)
H (0.228, 0.260, 0.500)
H (0.500, 0.507, 0.000)
Pd (0.619, 0.642, 0.264)
Pd (0.000, 0.510, 0.500)
H (0.772, 0.760, 0.500)
H (0.000, 0.007, 0.000)
Pd (0.145, 0.142, 0.264)
Au (0.376, 0.880, 0.741)

Summary:
* calculated volume: 253.90 Å³ per cell
* total moment: 0.00 μB per cell
* space group: Ima2
* total DFT energy (no corrections): -4.367 eV/atom



[19]
## HPd4Au (PBE-GGA)

Data for crystalline HPd4Au at its relaxed geometry.

Lattice parameters (Å, degrees): 4.914 5.531 6.782 105.92 111.24 90.00
Fractional positions:
Au (0.089, 0.250, 0.000)
Pd (0.115, 0.152, 0.401)
H (0.000, 0.500, 0.500)
Pd (0.683, 0.448, 0.199)
Pd (0.485, 0.052, 0.801)
Au (0.911, 0.750, 0.000)
Pd (0.515, 0.948, 0.199)
H (0.500, 0.000, 0.500)
Pd (0.885, 0.848, 0.599)
Pd (0.317, 0.552, 0.801)
Pd (0.714, 0.348, 0.599)
Pd (0.286, 0.652, 0.401)

Summary:
* calculated volume: 164.19 Å³ per cell
* energy above the lowest structure with this stoichiometry: 0 meV per atom
* total moment: 0.00 μB per cell
* space group: C2/c